1.
The following is a GGA-PBE calculation of a geometry-optimized SmHfTe structure, from Alexandria.

Geometry as POSCAR:
```
SmHfTe
1.0
-3.412 -0.065 -1.520
2.143 -3.060 -0.088
-5.285 -4.047 12.037
Hf Te Sm
2 2 2
direct
0.611 0.222 0.000
0.278 0.556 0.500
0.611 0.222 0.361
0.611 0.222 0.639
0.278 0.555 0.812
0.278 0.555 0.188
```

calculated volume: 166.3 Å³/cell
density of states at the Fermi level: 2.2 states/eV/f.u.
final energy: -6.431 eV per atom
total moment: 0.0 μB per formula unit
ΔE_f (raw): -493 meV per atom
symmetry: P-6m2 (187)

=====

2.
The following is a GGA-PBE calculation of a geometry-optimized Sm3HfTe6 structure, from Alexandria.

Geometry as POSCAR:
```
Sm3HfTe6
1.0
-7.301 -4.535 2.490
4.734 -4.266 6.282
-2.010 6.395 5.927
Hf Te Sm
2 12 6
direct
0.500 0.500 0.500
0.000 0.000 0.000
0.545 0.426 0.189
0.923 0.102 0.300
0.189 0.545 0.426
0.898 0.700 0.077
0.455 0.574 0.811
0.574 0.811 0.455
0.300 0.923 0.102
0.700 0.077 0.898
0.811 0.455 0.574
0.426 0.189 0.545
0.102 0.300 0.923
0.077 0.898 0.700
0.232 0.579 0.085
0.915 0.768 0.421
0.579 0.085 0.232
0.085 0.232 0.579
0.768 0.421 0.915
0.421 0.915 0.768
```

calculated volume: 716.4 Å³/cell
density of states at the Fermi level: 5.9 states/eV/f.u.
final energy: -5.448 eV per atom
total moment: 0.1 μB per formula unit
ΔE_f (raw): -1152 meV per atom
symmetry: R-3 (148)

=====

3.
The following is a GGA-PBE calculation of a geometry-optimized SmHfTe2 structure, from Alexandria.

Geometry as POSCAR:
```
SmHfTe2
1.0
3.911 0.000 0.000
1.956 3.387 0.000
1.956 1.129 9.861
Sm Hf Te
1 1 2
direct
0.000 0.000 0.000
0.500 0.500 0.500
0.894 0.894 0.317
0.106 0.106 0.683
```

calculated volume: 130.6 Å³/cell
density of states at the Fermi level: 3.6 states/eV/f.u.
final energy: -5.795 eV per atom
total moment: 0.0 μB per formula unit
ΔE_f (raw): -556 meV per atom
symmetry: R-3m (166)

=====

4.
The following is a GGA-PBE calculation of a geometry-optimized SmHfTh structure, from Alexandria.

Geometry as POSCAR:
```
SmHfTh
1.0
3.384 0.000 0.000
0.000 3.384 0.000
-1.692 -1.692 7.629
Sm Hf Th
1 1 1
direct
0.010 0.010 0.019
0.668 0.668 0.336
0.322 0.322 0.645
```

calculated volume: 87.4 Å³/cell
density of states at the Fermi level: 4.1 states/eV/f.u.
final energy: -7.213 eV per atom
formation energy: 0.1516 eV per atom
total moment: 0.0 μB per formula unit
symmetry: I4mm (107)

=====

5.
The following is a GGA-PBE calculation of a geometry-optimized Sm2HfTh structure, from Alexandria.

Geometry as POSCAR:
```
Sm2HfTh
1.0
-0.036 -0.149 -5.062
0.724 -4.800 0.136
-4.801 -0.723 0.055
Sm Th Hf
2 1 1
direct
0.000 0.000 0.500
0.000 0.500 0.000
0.500 0.000 0.000
0.500 0.500 0.500
```

calculated volume: 119.4 Å³/cell
density of states at the Fermi level: 4.9 states/eV/f.u.
final energy: -6.532 eV per atom
formation energy: 0.1712 eV per atom
total moment: 0.0 μB per formula unit
symmetry: P4/mmm (123)

=====

6.
The following is a GGA-PBE calculation of a geometry-optimized SmHfTh2 structure, from Alexandria.

Geometry as POSCAR:
```
SmHfTh2
1.0
-3.838 3.935 0.038
-3.774 0.119 3.995
0.158 3.956 3.813
Sm Th Hf
1 2 1
direct
0.500 0.500 0.500
0.250 0.250 0.250
0.750 0.750 0.750
0.000 0.000 0.000
```

calculated volume: 117.5 Å³/cell
density of states at the Fermi level: 5.4 states/eV/f.u.
final energy: -7.171 eV per atom
formation energy: 0.2066 eV per atom
total moment: 0.0 μB per formula unit
symmetry: Fm-3m (225)

=====

7.
The following is a GGA-PBE calculation of a geometry-optimized SmHfTh2 structure, from Alexandria.

Geometry as POSCAR:
```
SmHfTh2
1.0
-1.547 2.747 1.154
-0.227 0.535 3.307
10.146 7.249 1.228
Sm Th Hf
1 2 1
direct
0.500 0.500 0.500
0.918 0.918 0.246
0.082 0.082 0.754
0.000 0.000 0.000
```

calculated volume: 120.9 Å³/cell
density of states at the Fermi level: 6.6 states/eV/f.u.
final energy: -6.985 eV per atom
formation energy: 0.3927 eV per atom
total moment: 0.0 μB per formula unit
symmetry: R-3m (166)

=====

8.
The following is a GGA-PBE calculation of a geometry-optimized SmHfTh2 structure, from Alexandria.

Geometry as POSCAR:
```
SmHfTh2
1.0
4.898 0.000 0.000
0.000 4.935 0.000
0.000 0.000 4.935
Th Hf Sm
2 1 1
direct
0.000 0.500 0.000
0.000 0.000 0.500
0.500 0.000 0.000
0.500 0.500 0.500
```

calculated volume: 119.3 Å³/cell
density of states at the Fermi level: 5.5 states/eV/f.u.
final energy: -7.211 eV per atom
formation energy: 0.1666 eV per atom
total moment: 0.0 μB per formula unit
symmetry: P4/mmm (123)

=====

9.
The following is a GGA-PBE calculation of a geometry-optimized SmHfTh2 structure, from Alexandria.

Geometry as POSCAR:
```
SmHfTh2
1.0
-1.813 -2.087 2.116
0.867 -3.359 0.293
6.693 0.739 9.326
Th Sm Hf
2 1 1
direct
0.079 0.079 0.763
0.255 0.255 0.236
0.498 0.498 0.505
0.668 0.668 0.996
```

calculated volume: 118.9 Å³/cell
density of states at the Fermi level: 6.5 states/eV/f.u.
final energy: -7.226 eV per atom
formation energy: 0.1521 eV per atom
total moment: 0.0 μB per formula unit
symmetry: R3m (160)

=====

10.
The following is a GGA-PBE calculation of a geometry-optimized SmHfTh structure, from Alexandria.

Geometry as POSCAR:
```
SmHfTh
1.0
-1.676 -2.857 -0.970
2.388 -0.161 2.486
-5.872 1.498 5.737
Sm Hf Th
1 1 1
direct
0.333 0.667 0.660
0.667 0.333 0.327
0.000 0.000 0.014
```

calculated volume: 86.1 Å³/cell
density of states at the Fermi level: 3.5 states/eV/f.u.
final energy: -7.196 eV per atom
formation energy: 0.1684 eV per atom
total moment: 0.0 μB per formula unit
symmetry: P3m1 (156)

=====

11.
The following is a GGA-PBE calculation of a geometry-optimized SmHfTh2 structure, from Alexandria.

Geometry as POSCAR:
```
SmHfTh2
1.0
3.474 0.000 0.000
0.000 3.474 0.000
0.000 0.000 9.930
Sm Hf Th
1 1 2
direct
0.500 0.500 0.500
0.500 0.500 0.000
0.000 0.000 0.768
0.000 0.000 0.232
```

calculated volume: 119.8 Å³/cell
density of states at the Fermi level: 5.6 states/eV/f.u.
final energy: -7.257 eV per atom
formation energy: 0.1209 eV per atom
total moment: 0.0 μB per formula unit
symmetry: P4/mmm (123)

=====

12.
The following is a GGA-PBE calculation of a geometry-optimized SmHfTh structure, from Alexandria.

Geometry as POSCAR:
```
SmHfTh
1.0
-4.824 -3.183 -0.841
-2.339 -4.755 -2.456
-5.087 -12.680 4.516
Hf Sm Th
2 2 2
direct
0.320 0.320 0.242
0.071 0.071 0.758
0.442 0.442 0.392
0.534 0.534 0.566
0.236 0.236 0.063
0.657 0.657 0.901
```

calculated volume: 175.8 Å³/cell
density of states at the Fermi level: 4.2 states/eV/f.u.
final energy: -7.109 eV per atom
formation energy: 0.2554 eV per atom
total moment: 0.0 μB per formula unit
symmetry: Cm (8)

=====

13.
The following is a GGA-PBE calculation of a geometry-optimized SmTmHfTh structure, from Alexandria.

Geometry as POSCAR:
```
SmTmHfTh
1.0
5.470 0.000 0.000
2.735 4.737 0.000
2.735 1.579 4.466
Th Tm Hf Sm
1 1 1 1
direct
0.000 0.000 0.000
0.750 0.750 0.750
0.250 0.250 0.250
0.500 0.500 0.500
```

calculated volume: 115.7 Å³/cell
density of states at the Fermi level: 5.5 states/eV/f.u.
final energy: -6.446 eV per atom
formation energy: 0.1949 eV per atom
total moment: 0.0 μB per formula unit
symmetry: F-43m (216)

=====

14.
The following is a GGA-PBE calculation of a geometry-optimized SmHf2Ti structure, from Alexandria.

Geometry as POSCAR:
```
SmHf2Ti
1.0
-1.805 -2.241 -1.268
1.272 -2.149 -1.911
1.839 -8.009 7.643
Hf Sm Ti
2 1 1
direct
0.904 0.904 0.289
0.096 0.096 0.711
0.000 0.000 0.000
0.500 0.500 0.500
```

calculated volume: 94.8 Å³/cell
density of states at the Fermi level: 5.4 states/eV/f.u.
final energy: -7.846 eV per atom
formation energy: 0.2840 eV per atom
total moment: 0.0 μB per formula unit
symmetry: R-3m (166)